# 1
First-principles (PBE) data for crystalline U2Se3F at its relaxed geometry, as listed in Alexandria via LeMat-Bulk.

The space group is R-3c (No. 167, hexagonal axes) and the conventional cell measures 7.7471, 7.7471 and 17.0021 Å, with angles of 90.00, 90.00 and 120.00 degrees. Symmetry generates all atoms from U at (0.0000, 0.0000, 0.1340), Se at (0.0000, 0.2801, 0.2500) and F at (0.0000, 0.0000, 0.0000).

---

# 2
First-principles (PBE) data for crystalline USeF2 at its relaxed geometry, as listed in Alexandria via LeMat-Bulk.

The space group is P-3m1 (No. 164) and the conventional cell measures 4.0419, 4.0419 and 10.8011 Å, with angles of 90.00, 90.00 and 120.00 degrees. Symmetry generates all atoms from U at (0.3333, 0.6667, 0.3258), Se at (0.3333, 0.6667, 0.8351), F at (0.0000, 0.0000, 0.3686) and F at (0.3333, 0.6667, 0.5483).

Its relative energy among the computed polymorphs is 0.0 meV/atom.

---

no.,uncorrected energy (eV per atom),density of states at the Fermi level (states/eV/cell)
1,-7.429,67.80
2,-7.211,12.32